A geometry-optimized TbPu3Fe structure. Source: the Alexandria database, functional GGA-PBE.

- Formation energy from the elements: 232 meV per atom

abc: 5.1310 5.1310 5.1310
angles: 90.00 90.00 90.00
Element x y z (fractional)
Tb1 0.0000 0.0000 0.0000
Pu1 0.0000 0.5000 0.5000
Pu2 0.5000 0.0000 0.5000
Pu3 0.5000 0.5000 0.0000
Fe1 0.5000 0.5000 0.5000